DyHoScOs | Alexandria via LeMat-Bulk | PBE | optimized geometry; symmetry = F-43m, No. 216; spin magnetization = 0.00 Bohr magnetons per cell; N(E_F) = 3.9 states/eV/f.u.; formation energy = -2.5 meV/atom
1.0
7.090 0.000 0.000
0.000 7.090 0.000
0.000 0.000 7.090
Dy Ho Sc Os
4 4 4 4
Direct
0.000 0.000 0.000
0.000 0.500 0.500
0.500 0.000 0.500
0.500 0.500 0.000
0.000 0.000 0.500
0.000 0.500 0.000
0.500 0.000 0.000
0.500 0.500 0.500
0.250 0.250 0.250
0.250 0.750 0.750
0.750 0.250 0.750
0.750 0.750 0.250
0.250 0.250 0.750
0.250 0.750 0.250
0.750 0.250 0.250
0.750 0.750 0.750

DyHoTlOs | Alexandria via LeMat-Bulk | PBE | optimized geometry; symmetry = F-43m, No. 216; spin magnetization = 0.00 Bohr magnetons per cell; N(E_F) = 3.0 states/eV/f.u.; formation energy = -157.7 meV/atom
1.0
7.147 0.000 0.000
0.000 7.147 0.000
0.000 0.000 7.147
Dy Ho Tl Os
4 4 4 4
Direct
0.000 0.000 0.000
0.000 0.500 0.500
0.500 0.000 0.500
0.500 0.500 0.000
0.000 0.000 0.500
0.000 0.500 0.000
0.500 0.000 0.000
0.500 0.500 0.500
0.250 0.250 0.250
0.250 0.750 0.750
0.750 0.250 0.750
0.750 0.750 0.250
0.250 0.250 0.750
0.250 0.750 0.250
0.750 0.250 0.250
0.750 0.750 0.750

Dy5Ho3P8 | Alexandria via LeMat-Bulk | PBE | optimized geometry; symmetry = R-3m, No. 166; spin magnetization = 0.00 Bohr magnetons per cell; N(E_F) = 2.4 states/eV/f.u.; formation energy = -1614.9 meV/atom
1.0
3.999 2.309 6.530
-3.999 2.309 6.530
0.000 -4.618 6.530
Dy Ho P
5 3 8
Direct
0.000 0.000 0.000
0.000 0.500 0.500
0.500 0.000 0.500
0.500 0.500 0.000
0.500 0.500 0.500
0.000 0.000 0.500
0.000 0.500 0.000
0.500 0.000 0.000
0.249 0.750 0.750
0.250 0.250 0.250
0.250 0.250 0.751
0.250 0.751 0.250
0.750 0.249 0.750
0.750 0.750 0.249
0.750 0.750 0.750
0.751 0.250 0.250

Dy2HoP | Alexandria via LeMat-Bulk | PBE | optimized geometry; symmetry = R-3m, No. 166; spin magnetization = 0.84 Bohr magnetons per cell; N(E_F) = 4.7 states/eV/f.u.; formation energy = -674.1 meV/atom
1.0
3.775 0.000 0.000
-1.888 3.269 0.000
0.000 0.000 28.040
Dy Ho P
6 3 3
Direct
0.000 0.000 0.226
0.000 0.000 0.774
0.333 0.667 0.441
0.333 0.667 0.892
0.667 0.333 0.108
0.667 0.333 0.559
0.000 0.000 0.000
0.333 0.667 0.667
0.667 0.333 0.333
0.000 0.000 0.500
0.333 0.667 0.167
0.667 0.333 0.833

DyHo5P6 | Alexandria via LeMat-Bulk | PBE | optimized geometry; symmetry = C2/m, No. 12; spin magnetization = 0.00 Bohr magnetons per cell; N(E_F) = 1.1 states/eV/f.u.; formation energy = -1615.5 meV/atom
1.0
3.457 -5.985 0.000
3.457 5.985 0.000
-2.306 0.000 6.516
Dy Ho P
1 5 6
Direct
0.000 0.000 0.000
0.167 0.833 0.500
0.333 0.667 0.000
0.500 0.500 0.500
0.667 0.333 0.000
0.833 0.167 0.500
0.083 0.417 0.250
0.251 0.251 0.750
0.417 0.083 0.250
0.583 0.917 0.750
0.749 0.749 0.250
0.917 0.583 0.750

DyHo4P5 | Alexandria via LeMat-Bulk | PBE | optimized geometry; symmetry = I4/m, No. 87; spin magnetization = 0.00 Bohr magnetons per cell; N(E_F) = 0.6 states/eV/f.u.; formation energy = -1615.9 meV/atom
1.0
-4.463 4.463 2.823
4.463 -4.463 2.823
4.463 4.463 -2.823
Dy Ho P
1 4 5
Direct
0.000 0.000 0.000
0.200 0.600 0.800
0.400 0.200 0.600
0.600 0.800 0.400
0.800 0.400 0.200
0.100 0.301 0.401
0.301 0.900 0.200
0.500 0.500 0.000
0.699 0.100 0.800
0.900 0.699 0.599

Number 5 is which compound?
DyHo5P6

Number 4 is which compound?
Dy2HoP